1.
The following is a DFT calculation (PBE) of a geometry-optimized ZnCuTe2 structure.

Results
Its polymorph energy (0 for the lowest one) is 14.8 meV per atom. As for the space group: No. 33. The density of states at the Fermi level is 2.86 states/eV/f.u. The value obtained for the energy relative to the elements, uncorrected is -0.8 eV/f.u.

Lattice parameters (Å, degrees): 7.2874 8.4778 7.1100 90.00 90.00 90.00
Closest atoms and distances in Å follow each position.
Positions (direct):
Zn 0.0849 0.3767 0.9966  4 Te 2.66-2.67
Zn 0.9151 0.6233 0.4966  4 Te 2.66-2.67
Zn 0.4151 0.8767 0.4966  4 Te 2.66-2.67
Zn 0.5849 0.1233 0.9966  4 Te 2.66-2.67
Te 0.4092 0.8684 0.1224  2 Cu 2.57, 2 Zn 2.66-2.67
Te 0.5908 0.1316 0.6224  2 Cu 2.57, 2 Zn 2.66-2.67
Te 0.0908 0.3684 0.6224  2 Cu 2.57, 2 Zn 2.66-2.67
Te 0.9092 0.6316 0.1224  2 Cu 2.57, 2 Zn 2.66-2.67
Te 0.0751 0.8812 0.6357  2 Cu 2.56, 2 Zn 2.67
Te 0.9249 0.1188 0.1357  2 Cu 2.56, 2 Zn 2.67
Te 0.4249 0.3812 0.1357  2 Cu 2.56, 2 Zn 2.67
Te 0.5751 0.6188 0.6357  2 Cu 2.56, 2 Zn 2.67
Cu 0.0796 0.8742 0.9951  4 Te 2.56-2.57
Cu 0.9204 0.1258 0.4951  4 Te 2.56-2.57
Cu 0.4204 0.3742 0.4951  4 Te 2.56-2.57
Cu 0.5796 0.6258 0.9951  4 Te 2.56-2.57

=====

2.
The following is a DFT calculation (PBE) of a geometry-optimized AcCd10Au2 structure.

Results
As for the space group: No. 69. The density of states at the Fermi level is 5.80 states/eV/f.u. The calculation puts the formation energy at -2.5 eV per formula unit.

Lattice parameters (Å, degrees): 5.8519 7.6671 7.7620 81.73 67.85 67.57
Closest atoms and distances in Å follow each position.
Positions (direct):
Ac 0.0000 0.0000 0.0000  16 Cd 3.57-3.88, 4 Au 3.83
Cd 0.3533 0.6396 0.6538  7 Cd 2.97-3.32, 2 Au 3.05
Cd 0.6467 0.3604 0.3462  7 Cd 2.97-3.32, 2 Au 3.05
Cd 0.9929 0.3604 0.6538  7 Cd 2.97-3.32, 2 Au 3.05
Cd 0.0071 0.6396 0.3462  7 Cd 2.97-3.32, 2 Au 3.05
Cd 0.0000 0.0000 0.5000  10 Cd 2.93-3.14
Cd 0.5000 0.0000 0.5000  10 Cd 2.93-3.14
Cd 0.2830 0.2210 0.2130  2 Au 2.90, 7 Cd 2.97-3.23
Cd 0.7170 0.7790 0.7870  2 Au 2.90, 7 Cd 2.97-3.23
Cd 0.5040 0.7790 0.2130  2 Au 2.90, 7 Cd 2.97-3.23
Cd 0.4960 0.2210 0.7870  2 Au 2.90, 7 Cd 2.97-3.23
Au 0.0000 0.5000 0.0000  8 Cd 2.90-3.05, 2 Au 2.93
Au 0.5000 0.5000 0.0000  8 Cd 2.90-3.05, 2 Au 2.93

=====

3.
The following is a DFT calculation (PBE) of a geometry-optimized AcSc2Zn structure.

Results
Its polymorph energy (0 for the lowest one) is 269.3 meV per atom. As for the space group: No. 166. The density of states at the Fermi level is 4.65 states/eV/f.u. The calculation puts the formation energy at 0.8 eV per formula unit.

Lattice parameters (Å, degrees): 3.4368 3.4368 11.0585 81.06 81.06 60.00
Closest atoms and distances in Å follow each position.
Positions (direct):
Sc 0.1043 0.1043 0.6871  3 Zn 2.84
Sc 0.8957 0.8957 0.3129  3 Zn 2.84
Ac 0.0000 0.0000 0.0000  2 Sc 3.40, 6 Ac 3.44
Zn 0.5000 0.5000 0.5000  6 Sc 2.84

=====

4.
The following is a DFT calculation (PBE) of a geometry-optimized Rb2NaAu structure.

Results
Its polymorph energy (0 for the lowest one) is 21.2 meV per atom. As for the space group: No. 44. The density of states at the Fermi level is 2.56 states/eV/f.u. The calculation puts the formation energy at -0.5 eV per formula unit.

Lattice parameters (Å, degrees): 4.8183 6.9297 6.9297 66.74 69.69 69.69
Closest atoms and distances in Å follow each position.
Positions (direct):
Rb 0.0571 0.8867 0.9989  3 Au 3.66-3.78, 2 Na 4.03-4.04, 1 Rb 4.06
Rb 0.4429 0.5011 0.6133  3 Au 3.66-3.78, 2 Na 4.03-4.04, 1 Rb 4.06
Na 0.2500 0.1745 0.3255  2 Au 3.01
Au 0.7500 0.9377 0.5623  2 Na 3.01

=====

Q: Number 4 is which compound?
A: Rb2NaAu